[1]
The following is a DFT calculation (PBE) of an optimized crystal structure of Dy2CdGa9.

```
Dy2CdGa9
1.0
4.321 0.000 0.000
0.000 4.321 0.000
0.000 0.000 12.639
Dy Cd Ga
2 1 9
Direct
0.000 0.000 0.168 Dy
0.000 0.000 0.832 Dy
0.000 0.000 0.500 Cd
0.000 0.500 0.000 Ga
0.000 0.500 0.341 Ga
0.000 0.500 0.659 Ga
0.500 0.000 0.000 Ga
0.500 0.000 0.341 Ga
0.500 0.000 0.659 Ga
0.500 0.500 0.162 Ga
0.500 0.500 0.500 Ga
0.500 0.500 0.838 Ga
```

Values from the calculation:
As for the total magnetization: 0.00 μB per formula unit. For the electronic total energy, the calculation gives -3.42 eV per atom. The calculated formation energy comes out at -0.31 eV/atom. As for the symmetry: P4/mmm, No. 123.

[2]
The following is a DFT calculation (PBE) of an optimized crystal structure of CsRbNbO4.

```
CsRbNbO4
1.0
-3.435 3.435 4.899
3.435 -3.435 4.899
3.435 3.435 -4.899
Cs Rb Nb O
1 1 1 4
Direct
0.000 0.000 0.000 Cs
0.500 0.500 0.000 Rb
0.250 0.750 0.500 Nb
0.215 0.692 0.185 O
0.308 0.493 0.523 O
0.507 0.030 0.815 O
0.970 0.785 0.477 O
```

Values from the calculation:
As for the total magnetization: 1.01 μB per formula unit. For the electronic total energy, the calculation gives -6.43 eV per atom. The value obtained for the uncorrected formation energy is -13.27 eV/f.u. As for the symmetry: I-4, No. 82.

[3]
The following is a DFT calculation (PBE) of an optimized crystal structure of H12PbC4S4N2O8.

```
H12PbC4S4N2O8
1.0
7.892 0.000 0.000
0.000 9.161 0.000
-6.361 0.000 20.577
H Pb C S N O
48 4 16 16 8 32
Direct
0.030 0.036 0.236 H
0.030 0.464 0.736 H
0.040 0.737 0.099 H
0.040 0.763 0.599 H
0.060 0.094 0.936 H
0.060 0.406 0.436 H
0.062 0.002 0.699 H
0.062 0.498 0.199 H
0.104 0.126 0.767 H
0.104 0.374 0.267 H
0.183 0.219 0.900 H
0.183 0.281 0.400 H
0.207 0.123 0.139 H
0.207 0.377 0.639 H
0.306 0.045 0.633 H
0.306 0.455 0.133 H
0.331 0.606 0.190 H
0.331 0.894 0.690 H
0.353 0.530 0.669 H
0.353 0.970 0.169 H
0.441 0.153 0.178 H
0.441 0.347 0.678 H
0.448 0.064 0.716 H
0.448 0.436 0.216 H
0.552 0.564 0.784 H
0.552 0.936 0.284 H
0.559 0.653 0.322 H
0.559 0.847 0.822 H
0.647 0.030 0.831 H
0.647 0.470 0.331 H
0.669 0.106 0.310 H
0.669 0.394 0.810 H
0.694 0.545 0.867 H
0.694 0.955 0.367 H
0.793 0.623 0.361 H
0.793 0.877 0.861 H
0.817 0.719 0.600 H
0.817 0.781 0.100 H
0.896 0.626 0.733 H
0.896 0.874 0.233 H
0.938 0.502 0.801 H
0.938 0.998 0.301 H
0.940 0.594 0.564 H
0.940 0.906 0.064 H
0.960 0.237 0.401 H
0.960 0.263 0.901 H
0.970 0.536 0.264 H
0.970 0.964 0.764 H
0.309 0.717 0.964 Pb
0.309 0.783 0.464 Pb
0.691 0.217 0.536 Pb
0.691 0.283 0.036 Pb
0.008 0.050 0.735 C
0.008 0.450 0.235 C
0.084 0.208 0.927 C
0.084 0.292 0.427 C
0.341 0.080 0.147 C
0.341 0.420 0.647 C
0.396 0.511 0.175 C
0.396 0.989 0.675 C
0.604 0.011 0.325 C
0.604 0.489 0.825 C
0.659 0.580 0.353 C
0.659 0.920 0.853 C
0.916 0.708 0.573 C
0.916 0.792 0.073 C
0.992 0.550 0.765 C
0.992 0.950 0.265 C
0.168 0.205 0.503 S
0.168 0.295 0.003 S
0.181 0.654 0.805 S
0.181 0.846 0.305 S
0.384 0.063 0.071 S
0.384 0.437 0.571 S
0.423 0.081 0.349 S
0.423 0.419 0.849 S
0.577 0.581 0.151 S
0.577 0.919 0.651 S
0.616 0.563 0.429 S
0.616 0.937 0.929 S
0.819 0.154 0.695 S
0.819 0.346 0.195 S
0.832 0.705 0.997 S
0.832 0.795 0.497 S
0.310 0.557 0.863 N
0.310 0.943 0.363 N
0.360 0.224 0.038 N
0.360 0.276 0.538 N
0.640 0.724 0.462 N
0.640 0.776 0.962 N
0.690 0.057 0.637 N
0.690 0.443 0.137 N
0.044 0.232 0.541 O
0.044 0.268 0.041 O
0.122 0.731 0.342 O
0.122 0.769 0.842 O
0.202 0.052 0.492 O
0.202 0.448 0.992 O
0.259 0.545 0.534 O
0.259 0.955 0.034 O
0.264 0.703 0.756 O
0.264 0.797 0.256 O
0.318 0.173 0.297 O
0.318 0.327 0.797 O
0.427 0.533 0.417 O
0.427 0.967 0.917 O
0.497 0.152 0.412 O
0.497 0.348 0.912 O
0.503 0.652 0.088 O
0.503 0.848 0.588 O
0.573 0.033 0.083 O
0.573 0.467 0.583 O
0.682 0.673 0.203 O
0.682 0.827 0.703 O
0.736 0.203 0.744 O
0.736 0.297 0.244 O
0.741 0.045 0.966 O
0.741 0.455 0.466 O
0.798 0.552 0.008 O
0.798 0.948 0.508 O
0.878 0.231 0.158 O
0.878 0.269 0.658 O
0.956 0.732 0.959 O
0.956 0.768 0.459 O
```

Values from the calculation:
As for the total magnetization: 0.00 μB per formula unit. For the electronic total energy, the calculation gives -5.49 eV per atom. As for the symmetry: P2_1/c, No. 14.

[4]
The following is a DFT calculation (PBE) of an optimized crystal structure of PmDyGaNi.

```
PmDyGaNi
1.0
4.327 0.000 0.000
0.000 1.903 5.537
0.000 -1.903 5.537
Pm Dy Ga Ni
1 1 1 1
Direct
0.000 0.000 0.000 Pm
0.500 0.715 0.715 Dy
0.500 0.421 0.421 Ga
0.000 0.286 0.286 Ni
```

Values from the calculation:
The calculation puts the relative energy among the computed polymorphs at 0.0000 eV/atom. As for the total magnetization: 0.00 μB per formula unit. For the electronic total energy, the calculation gives -5.00 eV per atom. The calculated formation energy comes out at -0.45 eV/atom. As for the symmetry: Amm2, No. 38.

[5]
The following is a DFT calculation (PBE) of an optimized crystal structure of Tb2Pr5SmTm.

```
Tb2Pr5SmTm
1.0
2.840 -10.323 0.000
2.840 10.323 0.000
0.000 0.000 10.787
Tb Pr Sm Tm
4 10 2 2
Direct
0.112 0.888 0.500 Tb
0.115 0.885 0.071 Tb
0.885 0.115 0.571 Tb
0.888 0.112 0.000 Tb
0.015 0.985 0.778 Pr
0.279 0.721 0.073 Pr
0.296 0.704 0.466 Pr
0.386 0.614 0.783 Pr
0.483 0.517 0.506 Pr
0.517 0.483 0.006 Pr
0.614 0.386 0.283 Pr
0.704 0.296 0.966 Pr
0.721 0.279 0.573 Pr
0.985 0.015 0.278 Pr
0.199 0.801 0.771 Sm
0.801 0.199 0.271 Sm
0.407 0.593 0.226 Tm
0.593 0.407 0.726 Tm
```

Values from the calculation:
As for the total magnetization: 0.00 μB per formula unit. For the electronic total energy, the calculation gives -4.57 eV per atom. The calculated formation energy comes out at 0.14 eV/atom. As for the symmetry: Cmc2_1, No. 36.

[6]
The following is a DFT calculation (PBE) of an optimized crystal structure of UPaVTc.

```
UPaVTc
1.0
0.000 3.304 3.304
3.304 0.000 3.304
3.304 3.304 0.000
U Pa V Tc
1 1 1 1
Direct
0.000 0.000 0.000 U
0.250 0.250 0.250 Pa
0.750 0.750 0.750 V
0.500 0.500 0.500 Tc
```

Values from the calculation:
As for the total magnetization: 0.12 μB per formula unit. For the electronic total energy, the calculation gives -10.01 eV per atom. The calculated formation energy comes out at 0.06 eV/atom. As for the symmetry: F-43m, No. 216.

[7]
The following is a DFT calculation (PBE) of an optimized crystal structure of LaTbGa2Au5.

```
LaTbGa2Au5
1.0
4.776 0.000 0.000
0.000 4.776 0.000
0.000 0.000 8.535
La Tb Ga Au
1 1 2 5
Direct
0.000 0.000 0.000 La
0.000 0.000 0.500 Tb
0.500 0.500 0.354 Ga
0.500 0.500 0.646 Ga
0.000 0.500 0.245 Au
0.000 0.500 0.755 Au
0.500 0.000 0.245 Au
0.500 0.000 0.755 Au
0.500 0.500 0.000 Au
```

Values from the calculation:
As for the total magnetization: 0.00 μB per formula unit. For the electronic total energy, the calculation gives -4.08 eV per atom. The calculated formation energy comes out at -0.53 eV/atom. As for the symmetry: P4/mmm, No. 123.

[8]
The following is a DFT calculation (PBE) of an optimized crystal structure of ErAlNi.

```
ErAlNi
1.0
6.923 0.000 0.000
-3.462 5.996 0.000
0.000 0.000 3.867
Er Al Ni
3 3 3
Direct
0.000 0.584 0.000 Er
0.416 0.416 0.000 Er
0.584 0.000 0.000 Er
0.000 0.237 0.500 Al
0.237 0.000 0.500 Al
0.763 0.763 0.500 Al
0.000 0.000 0.000 Ni
0.333 0.667 0.500 Ni
0.667 0.333 0.500 Ni
```

Values from the calculation:
As for the total magnetization: 0.00 μB per formula unit. For the electronic total energy, the calculation gives -5.32 eV per atom. The calculated formation energy comes out at -0.63 eV/atom. As for the symmetry: P-62m, No. 189.

[9]
The following is a DFT calculation (PBE) of an optimized crystal structure of Na3HgRu.

```
Na3HgRu
1.0
5.523 0.000 0.000
0.000 5.523 0.000
0.000 0.000 5.523
Na Hg Ru
3 1 1
Direct
0.000 0.000 0.500 Na
0.000 0.500 0.000 Na
0.500 0.000 0.000 Na
0.000 0.000 0.000 Hg
0.500 0.500 0.500 Ru
```

Values from the calculation:
The calculation puts the relative energy among the computed polymorphs at 0.1305 eV/atom. As for the total magnetization: 2.27 μB per formula unit. For the electronic total energy, the calculation gives -1.71 eV per atom. The calculated formation energy comes out at 1.00 eV/atom. As for the symmetry: Pm-3m, No. 221.

[10]
The following is a DFT calculation (PBE) of an optimized crystal structure of CaIn2Ag2.

```
CaIn2Ag2
1.0
-2.196 2.196 6.423
2.196 -2.196 6.423
2.196 2.196 -6.423
Ca In Ag
1 2 2
Direct
0.000 0.000 0.000 Ca
0.250 0.750 0.500 In
0.750 0.250 0.500 In
0.395 0.395 0.000 Ag
0.605 0.605 0.000 Ag
```

Values from the calculation:
The calculation puts the relative energy among the computed polymorphs at 0.0241 eV/atom. As for the total magnetization: 0.00 μB per formula unit. For the electronic total energy, the calculation gives -2.84 eV per atom. The calculated formation energy comes out at -0.21 eV/atom. As for the symmetry: I4/mmm, No. 139.

[11]
The following is a DFT calculation (PBE) of an optimized crystal structure of Tb5Tm2Bi4.

```
Tb5Tm2Bi4
1.0
13.190 -1.743 0.000
13.190 1.743 0.000
-0.143 0.000 7.652
Tb Tm Bi
5 2 4
Direct
0.000 0.000 0.000 Tb
0.357 0.357 0.857 Tb
0.410 0.410 0.303 Tb
0.590 0.590 0.697 Tb
0.643 0.643 0.143 Tb
0.263 0.263 0.196 Tm
0.737 0.737 0.804 Tm
0.176 0.176 0.497 Bi
0.464 0.464 0.676 Bi
0.536 0.536 0.324 Bi
0.824 0.824 0.503 Bi
```

Values from the calculation:
As for the total magnetization: 0.00 μB per formula unit. For the electronic total energy, the calculation gives -4.60 eV per atom. The calculated formation energy comes out at -0.27 eV/atom. As for the symmetry: C2/m, No. 12.

[12]
The following is a DFT calculation (PBE) of an optimized crystal structure of PrCoCN.

```
PrCoCN
1.0
3.598 0.000 0.000
0.000 3.598 0.000
0.000 0.000 7.456
Pr Co C N
2 2 2 2
Direct
0.250 0.250 0.180 Pr
0.750 0.750 0.820 Pr
0.250 0.750 0.500 Co
0.750 0.250 0.500 Co
0.250 0.250 0.646 C
0.750 0.750 0.354 C
0.250 0.250 0.835 N
0.750 0.750 0.165 N
```

Values from the calculation:
As for the total magnetization: 0.00 μB per formula unit. For the electronic total energy, the calculation gives -7.89 eV per atom. The value obtained for the uncorrected formation energy is -2.12 eV/f.u. As for the symmetry: P4/nmm, No. 129.